1.
Crystalline CeNiP2 at its relaxed geometry. Source: Alexandria via LeMat-Bulk, functional PBE-GGA.

Properties
formation energy: -3.0 kcal/mol of atoms

abc: 4.5078 4.5078 6.7866
angles: 70.60 70.60 60.00
With the nearest neighbours (Å) after each atom.
Atoms (fractional coordinates):
Ni: 0.0000 0.0000 0.0000  2 P 2.09
Ce: 0.5000 0.5000 0.5000  6 P 2.80
P: 0.1113 0.1113 0.6661  1 Ni 2.09
P: 0.8887 0.8887 0.3339  1 Ni 2.09

***

2.
Crystalline Ce2Ni2P3 at its relaxed geometry. Source: Alexandria via LeMat-Bulk, functional PBE-GGA.

Properties
formation energy: -22.4 kcal/mol of atoms

abc: 3.9545 6.4184 5.8295
angles: 105.10 109.83 90.00
With the nearest neighbours (Å) after each atom.
Atoms (fractional coordinates):
Ce: 0.6037 0.7912 0.2075  5 P 2.74-3.04, 1 Ni 3.00
Ce: 0.3963 0.2088 0.7925  5 P 2.74-3.04, 1 Ni 3.00
Ni: 0.8234 0.5981 0.6467  4 P 2.20-2.33
Ni: 0.1766 0.4019 0.3533  4 P 2.20-2.33
P: 0.0000 0.5000 0.0000  2 Ni 2.20
P: 0.3079 0.7563 0.6158  3 Ni 2.25-2.33
P: 0.6921 0.2437 0.3842  3 Ni 2.25-2.33

***

3.
Crystalline CeNiP at its relaxed geometry. Source: Alexandria via LeMat-Bulk, functional PBE-GGA.

Properties
formation energy: -11.9 kcal/mol of atoms

abc: 3.8657 3.8657 4.7381
angles: 114.08 114.08 90.00
With the nearest neighbours (Å) after each atom.
Atoms (fractional coordinates):
Ni: 0.2608 0.2608 0.5216  1 P 2.22
Ce: 0.6151 0.6151 0.2303  5 Ni 2.74-2.96, 5 P 2.78-2.94
P: 0.9741 0.9741 0.9482  1 Ni 2.22

***

4.
Crystalline CeNi6P4 at its relaxed geometry. Source: Alexandria via LeMat-Bulk, functional PBE-GGA.

Properties
formation energy: -15.3 kcal/mol of atoms

abc: 3.6690 6.6180 6.6180
angles: 120.00 90.00 90.00
With the nearest neighbours (Å) after each atom.
Atoms (fractional coordinates):
Ce: 0.0000 0.0000 0.0000  6 P 2.86, 6 Ni 2.98
Ni: 0.0000 0.5365 0.0730  5 P 2.33-2.41, 2 Ni 2.58
Ni: 0.5000 0.5909 0.7954  4 P 2.27-2.35
Ni: 0.0000 0.5365 0.4635  5 P 2.33-2.41, 2 Ni 2.58
Ni: 0.0000 0.9270 0.4635  5 P 2.33-2.41, 2 Ni 2.58
Ni: 0.5000 0.2046 0.7954  4 P 2.27-2.35
Ni: 0.5000 0.2046 0.4091  4 P 2.27-2.35
P: 0.5000 0.8085 0.6170  6 Ni 2.27-2.41
P: 0.5000 0.3830 0.1915  6 Ni 2.27-2.41
P: 0.5000 0.8085 0.1915  6 Ni 2.27-2.41
P: 0.0000 0.3333 0.6667  9 Ni 2.33-2.35

***

5.
Crystalline Ce6Ni20P13 at its relaxed geometry. Source: Alexandria via LeMat-Bulk, functional PBE-GGA.

Properties
formation energy: -20.7 kcal/mol of atoms

abc: 12.7399 12.7399 3.8192
angles: 90.00 90.00 120.00
With the nearest neighbours (Å) after each atom.
Atoms (fractional coordinates):
Ce: 0.5309 0.8141 0.0000  6 P 2.94-2.99, 10 Ni 2.96-3.16
Ce: 0.2831 0.4691 0.0000  6 P 2.94-2.99, 10 Ni 2.96-3.16
Ce: 0.1859 0.7169 0.0000  6 P 2.94-2.99, 10 Ni 2.96-3.16
Ce: 0.8138 0.2804 0.5000  6 P 2.90-2.99, 9 Ni 2.98-3.16
Ce: 0.4666 0.1862 0.5000  6 P 2.90-2.99, 9 Ni 2.98-3.16
Ce: 0.7196 0.5334 0.5000  6 P 2.90-2.99, 9 Ni 2.98-3.16
Ni: 0.8059 0.9126 0.0000  4 P 2.15-2.36
Ni: 0.1068 0.1941 0.0000  4 P 2.15-2.36
Ni: 0.0874 0.8932 0.0000  4 P 2.15-2.36
Ni: 0.3333 0.6667 0.5000  3 P 2.29
Ni: 0.9309 0.0788 0.5000  3 P 2.27-2.51
Ni: 0.1479 0.0691 0.5000  3 P 2.27-2.51
Ni: 0.9212 0.8521 0.5000  3 P 2.27-2.51
Ni: 0.6667 0.3333 0.0000  3 P 2.29
Ni: 0.5637 0.5869 0.0000  4 P 2.28-2.31
Ni: 0.0233 0.4363 0.0000  4 P 2.28-2.31
Ni: 0.4131 0.9767 0.0000  4 P 2.28-2.31
Ni: 0.6856 0.7567 0.5000  4 P 2.31-2.35
Ni: 0.0711 0.3144 0.5000  4 P 2.31-2.35
Ni: 0.2433 0.9289 0.5000  4 P 2.31-2.35
Ni: 0.9764 0.5656 0.5000  4 P 2.29-2.34
Ni: 0.5892 0.0236 0.5000  4 P 2.29-2.34
Ni: 0.4344 0.4108 0.5000  4 P 2.29-2.34
Ni: 0.7586 0.0789 0.0000  4 P 2.29-2.36, 1 Ni 2.47
Ni: 0.3203 0.2414 0.0000  4 P 2.29-2.36, 1 Ni 2.47
Ni: 0.9211 0.6797 0.0000  4 P 2.29-2.36, 1 Ni 2.47
P: 0.4808 0.6135 0.5000  5 Ni 2.29-2.34
P: 0.1327 0.5192 0.5000  5 Ni 2.29-2.34
P: 0.3865 0.8673 0.5000  5 Ni 2.29-2.34
P: 0.7265 0.9580 0.5000  7 Ni 2.27-2.36
P: 0.2315 0.2735 0.5000  7 Ni 2.27-2.36
P: 0.0420 0.7685 0.5000  7 Ni 2.27-2.36
P: 0.8671 0.4791 0.0000  5 Ni 2.29-2.31
P: 0.6120 0.1329 0.0000  5 Ni 2.29-2.31
P: 0.5209 0.3880 0.0000  5 Ni 2.29-2.31
P: 0.9562 0.2333 0.0000  5 Ni 2.21-2.31
P: 0.2771 0.0438 0.0000  5 Ni 2.21-2.31
P: 0.7667 0.7229 0.0000  5 Ni 2.21-2.31
P: 0.0000 0.0000 0.0000  3 Ni 2.15

***

6.
Crystalline CeNi2P2 at its relaxed geometry. Source: Alexandria via LeMat-Bulk, functional PBE-GGA.

Properties
formation energy: -21.5 kcal/mol of atoms

abc: 5.5616 5.5616 6.4196
angles: 103.00 103.00 118.74
With the nearest neighbours (Å) after each atom.
Atoms (fractional coordinates):
Ce: 0.8751 0.6249 0.7500  6 P 2.92-3.25, 8 Ni 3.10-3.22
Ce: 0.1249 0.3751 0.2500  6 P 2.92-3.25, 8 Ni 3.10-3.22
Ni: 0.2660 0.0160 0.5317  4 P 2.22-2.25
Ni: 0.5160 0.7660 0.0317  4 P 2.22-2.25
Ni: 0.7340 0.9840 0.4683  4 P 2.22-2.25
Ni: 0.4840 0.2340 0.9683  4 P 2.22-2.25
P: 0.1803 0.3197 0.7500  4 Ni 2.22-2.25
P: 0.4303 0.0697 0.2500  4 Ni 2.22-2.25
P: 0.5697 0.9303 0.7500  4 Ni 2.22-2.25
P: 0.8197 0.6803 0.2500  4 Ni 2.22-2.25

***

7.
Crystalline CeNiP at its relaxed geometry. Source: Alexandria via LeMat-Bulk, functional PBE-GGA.

Properties
formation energy: -27.0 kcal/mol of atoms

abc: 3.9425 3.9425 7.9375
angles: 90.00 90.00 120.00
With the nearest neighbours (Å) after each atom.
Atoms (fractional coordinates):
Ni: 0.3333 0.6667 0.2500  3 P 2.28
Ni: 0.6667 0.3333 0.7500  3 P 2.28
Ce: 0.0000 0.0000 0.5000  6 Ni 3.02, 6 P 3.02
Ce: 0.0000 0.0000 0.0000  6 Ni 3.02, 6 P 3.02
P: 0.6667 0.3333 0.2500  3 Ni 2.28
P: 0.3333 0.6667 0.7500  3 Ni 2.28

***

8.
Crystalline CeNiP at its relaxed geometry. Source: Alexandria via LeMat-Bulk, functional PBE-GGA.

Properties
formation energy: -27.0 kcal/mol of atoms

abc: 3.9382 3.9382 15.8400
angles: 90.00 90.00 120.00
With the nearest neighbours (Å) after each atom.
Atoms (fractional coordinates):
Ce: 0.0000 0.0000 0.5000  6 Ni 2.97, 6 P 3.04
Ce: 0.0000 0.0000 0.0000  6 Ni 2.97, 6 P 3.04
Ce: 0.0000 0.0000 0.2500  6 P 2.99, 6 Ni 3.06
Ce: 0.0000 0.0000 0.7500  6 P 2.99, 6 Ni 3.06
Ni: 0.3333 0.6667 0.3791  3 P 2.28
Ni: 0.6667 0.3333 0.6209  3 P 2.28
Ni: 0.6667 0.3333 0.8791  3 P 2.28
Ni: 0.3333 0.6667 0.1209  3 P 2.28
P: 0.3333 0.6667 0.8724  3 Ni 2.28
P: 0.6667 0.3333 0.1276  3 Ni 2.28
P: 0.6667 0.3333 0.3724  3 Ni 2.28
P: 0.3333 0.6667 0.6276  3 Ni 2.28

***

9.
Crystalline Ce2NiP at its relaxed geometry. Source: Alexandria via LeMat-Bulk, functional PBE-GGA.

Properties
formation energy: -4.9 kcal/mol of atoms

abc: 3.6383 3.6383 8.7740
angles: 78.03 78.03 60.00
With the nearest neighbours (Å) after each atom.
Atoms (fractional coordinates):
Ni: 0.0000 0.0000 0.0000  2 Ce 2.48
Ce: 0.0971 0.0971 0.7087  1 Ni 2.48, 3 P 2.75
Ce: 0.9029 0.9029 0.2913  1 Ni 2.48, 3 P 2.75
P: 0.5000 0.5000 0.5000  6 Ce 2.75